#one
# ErSc2Sn, relaxed, DFT PBE
data_ErSc2Sn
_chemical_formula_sum 'Er2 Sc4 Sn2'
_cell_length_a 6.2065
_cell_length_b 4.1102
_cell_length_c 8.7370
_cell_angle_alpha 90.00
_cell_angle_beta 90.00
_cell_angle_gamma 109.33
_symmetry_space_group_name_H-M 'P 1'
_symmetry_Int_Tables_number 1
loop_
_symmetry_equiv_pos_as_xyz
'x,y,z'
loop_
_atom_site_label
_atom_site_type_symbol
_atom_site_fract_x
_atom_site_fract_y
_atom_site_fract_z
_atom_site_occupancy
Er1 Er 0.3958 0.9479 0.7500 1
Er2 Er 0.6042 0.0521 0.2500 1
Sc1 Sc 0.7680 0.6340 0.9469 1
Sc2 Sc 0.2320 0.3660 0.4469 1
Sc3 Sc 0.7680 0.6340 0.5531 1
Sc4 Sc 0.2320 0.3660 0.0531 1
Sn1 Sn 0.9824 0.2412 0.7500 1
Sn2 Sn 0.0176 0.7588 0.2500 1
# * symmetry: Cmcm, No. 63

#two
# ErSc2Sn, relaxed, DFT PBE
data_ErSc2Sn
_chemical_formula_sum 'Er2 Sc4 Sn2'
_cell_length_a 4.4605
_cell_length_b 4.3803
_cell_length_c 10.8086
_cell_angle_alpha 101.65
_cell_angle_beta 90.00
_cell_angle_gamma 90.00
_symmetry_space_group_name_H-M 'P 1'
_symmetry_Int_Tables_number 1
loop_
_symmetry_equiv_pos_as_xyz
'x,y,z'
loop_
_atom_site_label
_atom_site_type_symbol
_atom_site_fract_x
_atom_site_fract_y
_atom_site_fract_z
_atom_site_occupancy
Sc1 Sc 0.7500 0.0605 0.1217 1
Sc2 Sc 0.2500 0.9395 0.8783 1
Sc3 Sc 0.7500 0.4446 0.8885 1
Sc4 Sc 0.2500 0.5554 0.1115 1
Er1 Er 0.7500 0.6887 0.3795 1
Er2 Er 0.2500 0.3113 0.6205 1
Sn1 Sn 0.2500 0.1602 0.3225 1
Sn2 Sn 0.7500 0.8398 0.6775 1
# * symmetry: P2_1/m, No. 11

Verdict on stability: #one comes out at the bottom.

#one
# ErSc2Sn, relaxed, DFT PBE
data_ErSc2Sn
_chemical_formula_sum 'Er1 Sc2 Sn1'
_cell_length_a 4.5811
_cell_length_b 4.6055
_cell_length_c 4.6055
_cell_angle_alpha 90.00
_cell_angle_beta 90.00
_cell_angle_gamma 90.00
_symmetry_space_group_name_H-M 'P 1'
_symmetry_Int_Tables_number 1
loop_
_symmetry_equiv_pos_as_xyz
'x,y,z'
loop_
_atom_site_label
_atom_site_type_symbol
_atom_site_fract_x
_atom_site_fract_y
_atom_site_fract_z
_atom_site_occupancy
Sc1 Sc 0.0000 0.5000 0.0000 1
Sc2 Sc 0.0000 0.0000 0.5000 1
Er1 Er 0.5000 0.5000 0.5000 1
Sn1 Sn 0.5000 0.0000 0.0000 1
# * symmetry: P4/mmm, No. 123

#two
# ErSc2Sn, relaxed, DFT PBE
data_ErSc2Sn
_chemical_formula_sum 'Er1 Sc2 Sn1'
_cell_length_a 5.1546
_cell_length_b 5.1546
_cell_length_c 5.1513
_cell_angle_alpha 59.98
_cell_angle_beta 59.98
_cell_angle_gamma 60.00
_symmetry_space_group_name_H-M 'P 1'
_symmetry_Int_Tables_number 1
loop_
_symmetry_equiv_pos_as_xyz
'x,y,z'
loop_
_atom_site_label
_atom_site_type_symbol
_atom_site_fract_x
_atom_site_fract_y
_atom_site_fract_z
_atom_site_occupancy
Sn1 Sn 0.7500 0.7500 0.7499 1
Sc1 Sc 0.2499 0.2499 0.2502 1
Sc2 Sc 0.0001 0.0001 0.9997 1
Er1 Er 0.4999 0.4999 0.5002 1
# * symmetry: F-43m, No. 216

Verdict on stability: #two comes out at the bottom.

#one
# ErSc2Sn, relaxed, DFT PBE
data_ErSc2Sn
_chemical_formula_sum 'Er1 Sc2 Sn1'
_cell_length_a 3.6175
_cell_length_b 3.6175
_cell_length_c 7.6929
_cell_angle_alpha 90.00
_cell_angle_beta 90.00
_cell_angle_gamma 90.00
_symmetry_space_group_name_H-M 'P 1'
_symmetry_Int_Tables_number 1
loop_
_symmetry_equiv_pos_as_xyz
'x,y,z'
loop_
_atom_site_label
_atom_site_type_symbol
_atom_site_fract_x
_atom_site_fract_y
_atom_site_fract_z
_atom_site_occupancy
Sc1 Sc 0.0000 0.0000 0.2233 1
Sc2 Sc 0.0000 0.0000 0.7767 1
Sn1 Sn 0.5000 0.5000 0.0000 1
Er1 Er 0.5000 0.5000 0.5000 1
# * symmetry: P4/mmm, No. 123

#two
# ErSc2Sn, relaxed, DFT PBE
data_ErSc2Sn
_chemical_formula_sum 'Er1 Sc2 Sn1'
_cell_length_a 3.3120
_cell_length_b 3.3120
_cell_length_c 11.3451
_cell_angle_alpha 81.61
_cell_angle_beta 81.61
_cell_angle_gamma 60.00
_symmetry_space_group_name_H-M 'P 1'
_symmetry_Int_Tables_number 1
loop_
_symmetry_equiv_pos_as_xyz
'x,y,z'
loop_
_atom_site_label
_atom_site_type_symbol
_atom_site_fract_x
_atom_site_fract_y
_atom_site_fract_z
_atom_site_occupancy
Sn1 Sn 0.5000 0.5000 0.5000 1
Sc1 Sc 0.0948 0.0948 0.7157 1
Sc2 Sc 0.9052 0.9052 0.2843 1
Er1 Er 0.0000 0.0000 0.0000 1
# * symmetry: R-3m, No. 166

Verdict on stability: #two comes out at the bottom.